1.
MnAs2Br | GGA-PBE | optimized geometry

As for the theoretical density: 5.2 Mg/m³. The relative energy among the computed polymorphs is 474 meV per atom. The calculation puts the energy relative to the elements, uncorrected at 1.16 eV per formula unit.

Cell lengths 3.7424, 3.7424, 12.9302 Å; angles 90.00, 90.00, 90.00 degrees
Space group I4/mmm (No. 139)
Symmetry-distinct sites (fractional):
Mn (0.0000, 0.0000, 0.0000) [2 per cell]
As (0.0000, 0.5000, 0.2500) [4 per cell]
Br (0.0000, 0.0000, 0.5000) [2 per cell]



2.
MnAsBr | GGA-PBE | optimized geometry

As for the theoretical density: 4.6 Mg/m³. The relative energy among the computed polymorphs is 213 meV per atom. The calculation puts the energy relative to the elements, uncorrected at -0.11 eV per formula unit.

Cell lengths 3.5957, 5.6991, 14.8309 Å; angles 90.00, 90.00, 90.00 degrees
Space group Fmm2 (No. 42)
Symmetry-distinct sites (fractional):
Mn (0.0000, 0.0000, 0.0000) [4 per cell]
As (0.0000, 0.0000, 0.3874) [4 per cell]
Br (0.0000, 0.0000, 0.6214) [4 per cell]



3.
MnAs2Br8 | GGA-PBE | optimized geometry

As for the theoretical density: 3.1 Mg/m³. The calculation puts the energy relative to the elements, uncorrected at -4.96 eV per formula unit.

Cell lengths 10.3268, 11.7987, 7.6219 Å; angles 90.00, 102.83, 90.00 degrees
Space group C2/m (No. 12)
Symmetry-distinct sites (fractional):
Mn (0.0000, 0.0000, 0.0000) [2 per cell]
As (0.1804, 0.0000, 0.6103) [4 per cell]
Br (0.0892, 0.5000, 0.2775) [4 per cell]
Br (0.1152, 0.1585, 0.7839) [8 per cell]
Br (0.2151, 0.0000, 0.2240) [4 per cell]



4.
MnAs2Br | GGA-PBE | optimized geometry

As for the theoretical density: 5.9 Mg/m³. The relative energy among the computed polymorphs is 717 meV per atom. The calculation puts the energy relative to the elements, uncorrected at 2.13 eV per formula unit.

Cell lengths 5.1139, 5.1139, 3.0472 Å; angles 90.00, 90.00, 90.00 degrees
Space group P4/mmm (No. 123)
Symmetry-distinct sites (fractional):
Mn (0.0000, 0.0000, 0.0000) [1 per cell]
As (0.0000, 0.5000, 0.5000) [2 per cell]
Br (0.5000, 0.5000, 0.0000) [1 per cell]